Below is a crystal of LaReNi3 relaxed with PBEsol, with properties calculated at the SCAN level.

Summary:
Total magnetic moment, μB per atom: 0.00
Space-group type: Pm-3m (221)
DFT total energy, eV per cell: -160.59
Fermi-level density of states, states/eV/f.u.: 3.66

abc: 4.536 4.536 4.536
angles: 90.00 90.00 90.00
Element x y z (fractional)
Ni  0.000  0.000  0.500
Ni  0.000  0.500  0.000
Ni  0.500  0.000  0.000
La  0.500  0.500  0.500
Re  0.000  0.000  0.000


Below is a crystal of LaReNi2 relaxed with PBEsol, with properties calculated at the SCAN level.

Summary:
ΔE to the lowest computed polymorph, eV/atom: 0.231
Total magnetic moment, μB per atom: 0.55
Space-group type: I-4m2 (119)
Fermi-level density of states, states/eV/f.u.: 2.89

abc: 3.938 3.938 4.907
angles: 113.66 113.66 90.00
Element x y z (fractional)
La  0.250  0.750  0.500
Re  0.500  0.500  0.000
Ni  0.750  0.250  0.500
Ni  0.000  0.000  0.000


Below is a crystal of LaReNi2 relaxed with PBEsol, with properties calculated at the SCAN level.

Summary:
ΔE to the lowest computed polymorph, eV/atom: 0.000
Total magnetic moment, μB per atom: 0.00
Space-group type: Cmmm (65)
Fermi-level density of states, states/eV/f.u.: 3.18

abc: 2.808 4.729 4.729
angles: 105.49 90.00 90.00
Element x y z (fractional)
Ni  0.000  0.500  0.000
Ni  0.000  0.000  0.500
La  0.500  0.500  0.500
Re  0.500  0.000  0.000


Below is a crystal of LaReNi relaxed with PBEsol, with properties calculated at the SCAN level.

Summary:
Total magnetic moment, μB per atom: 0.70
Space-group type: F-43m (216)
DFT total energy, eV per cell: -125.67
Fermi-level density of states, states/eV/f.u.: 1.60

abc: 4.424 4.424 4.424
angles: 60.00 60.00 60.00
Element x y z (fractional)
Re  0.500  0.500  0.500
La  0.250  0.250  0.250
Ni  0.000  0.000  0.000


Below is a crystal of LaNiRh relaxed with PBEsol, with properties calculated at the SCAN level.

Summary:
Total magnetic moment, μB per atom: 0.00
Space-group type: P-6m2 (187)
DFT total energy, eV per cell: -94.65
Fermi-level density of states, states/eV/f.u.: 0.87

abc: 3.974 4.126 4.126
angles: 120.00 90.00 90.00
Element x y z (fractional)
La  0.000  0.000  0.000
Rh  0.500  0.333  0.667
Ni  0.500  0.667  0.333


Below is a crystal of LaNi3Rh2 relaxed with PBEsol, with properties calculated at the SCAN level.

Summary:
Total magnetic moment, μB per atom: 0.47
Space-group type: P6/mmm (191)
DFT total energy, eV per cell: -160.73
Fermi-level density of states, states/eV/f.u.: 5.81

abc: 4.143 4.996 4.996
angles: 120.00 90.00 90.00
Element x y z (fractional)
Ni  0.500  0.500  0.500
Ni  0.500  0.500  0.000
Ni  0.500  0.000  0.500
Rh  0.000  0.333  0.667
Rh  0.000  0.667  0.333
La  0.000  0.000  0.000


Below is a crystal of LaNi2Rh relaxed with PBEsol, with properties calculated at the SCAN level.

Summary:
ΔE to the lowest computed polymorph, eV/atom: 0.000
Total magnetic moment, μB per atom: 0.00
Space-group type: R-3m (166)
Fermi-level density of states, states/eV/f.u.: 1.72

abc: 4.186 4.187 5.243
angles: 113.49 90.00 119.99
Element x y z (fractional)
La  0.000  0.000  0.500
Rh  0.500  0.000  0.000
Ni  0.191  0.381  0.072
Ni  0.809  0.619  0.928


Below is a crystal of LaNi2Rh relaxed with PBEsol, with properties calculated at the SCAN level.

Summary:
ΔE to the lowest computed polymorph, eV/atom: 0.356
Total magnetic moment, μB per atom: 0.00
Space-group type: Imm2 (44)
Fermi-level density of states, states/eV/f.u.: 3.08

abc: 3.993 4.002 4.763
angles: 114.85 114.79 90.00
Element x y z (fractional)
Rh  0.500  0.500  0.000
Ni  0.749  0.249  0.497
Ni  0.001  0.001  0.001
La  0.251  0.751  0.501


Q: Which formula does entry 2 have?
A: LaReNi2